A relaxed CoSiRu4 crystal, computed with PBE-GGA.

As for the total magnetization: 17.3 μB/cell. Its uncorrected formation energy is 71 kJ per mole of atoms. The total energy is -180.986 eV for the cell shown.

The structure belongs to space group F-43m (No. 216); the cell edges are 7.107, 7.107 and 7.107 Å and the angles 90.00°, 90.00° and 90.00°. The asymmetric unit holds Co at (0.000, 0.000, 0.000), Si at (0.250, 0.250, 0.250) and Ru at (0.125, 0.125, 0.625).



A relaxed AcInBi crystal, computed with PBE-GGA.

As for the total magnetization: 0.0 μB/cell. The total energy is -12.160 eV for the cell shown. The energy relative to the elements comes out at -138 kJ/mol of formula units.

The structure belongs to space group P-6m2 (No. 187); the cell edges are 5.2688, 5.2688 and 4.3464 Å and the angles 90.00°, 90.00° and 120.00°. The asymmetric unit holds Ac at (0.0000, 0.0000, 0.0000), In at (0.3333, 0.6667, 0.5000) and Bi at (0.6667, 0.3333, 0.5000).



A relaxed CeSmTm crystal, computed with PBE-GGA.

As for the total magnetization: 0.9 μB/cell. The total energy is -29.788 eV for the cell shown. The energy relative to the elements comes out at 22 kJ/mol of formula units.

The structure belongs to space group I4mm (No. 107); the cell edges are 3.531, 3.531 and 14.880 Å and the angles 90.00°, 90.00° and 90.00°. The asymmetric unit holds Ce at (0.000, 0.000, 0.000), Sm at (0.000, 0.000, 0.665) and Tm at (0.000, 0.000, 0.340).



A relaxed AcInTe2 crystal, computed with PBE-GGA.

As for the total magnetization: 0.0 μB/cell. Its uncorrected formation energy is -94 kJ per mole of atoms. The total energy is -34.024 eV for the cell shown.

The structure belongs to space group P2_1 (No. 4); the cell edges are 4.668, 6.263 and 11.270 Å and the angles 90.00°, 90.02° and 90.00°. The asymmetric unit holds Ac at (0.250, 0.000, 0.149), In at (0.250, 0.530, 0.372), Te at (0.249, 0.657, 0.650) and Te at (0.250, 0.502, 0.059).